Record 1
Entry from Alexandria: a PBEsol-optimized structure of CaInOs2 (meta-GGA SCAN).

```
CaInOs2
1.0
-1.556 2.428 4.631
1.556 -2.428 4.631
1.556 2.428 -4.631
Ca In Os
1 1 2
direct
0.000 0.000 0.000
0.500 0.500 0.000
0.262 0.762 0.500
0.738 0.238 0.500
```

Output
- Formation energy: 0.71 eV per atom
- Space-group type: Immm, No. 71
- Total moment: 0.002 μB per cell
- E: -184.0 eV/cell


Record 2
Entry from Alexandria: a PBEsol-optimized structure of Ca2InOs (meta-GGA SCAN).

```
Ca2InOs
1.0
0.000 3.477 3.477
3.477 0.000 3.477
3.477 3.477 0.000
Ca In Os
2 1 1
direct
0.000 0.000 0.000
0.250 0.250 0.250
0.750 0.750 0.750
0.500 0.500 0.500
```

Output
- Formation energy: 0.17 eV per atom
- Space-group type: F-43m, No. 216
- Total moment: 0.000 μB per cell
- E: -123.9 eV/cell


Record 3
Entry from Alexandria: a PBEsol-optimized structure of CaIn2Os (meta-GGA SCAN).

```
CaIn2Os
1.0
0.000 3.380 3.380
3.380 0.000 3.380
3.380 3.380 0.000
Ca In Os
1 2 1
direct
0.000 0.000 0.000
0.250 0.250 0.250
0.750 0.750 0.750
0.500 0.500 0.500
```

Output
- Formation energy: 0.03 eV per atom
- Space-group type: Fm-3m, No. 225
- Total moment: 0.000 μB per cell
- E: -148.2 eV/cell